# 1
RbBaSb3 | PBE | relaxed

a b c (Å): 6.0188 6.0188 6.0188
angles (deg): 90.00 90.00 90.00
With the nearest neighbours (Å) after each atom.
Fractional coordinates of all 5 atoms:
Ba 0.5000 0.5000 0.5000  12 Sb 4.26
Sb 0.0000 0.5000 0.0000  2 Rb 3.01
Rb 0.0000 0.0000 0.0000  6 Sb 3.01
Sb 0.0000 0.0000 0.5000  2 Rb 3.01
Sb 0.5000 0.0000 0.0000  2 Rb 3.01

Volume   218.0 Å³ per cell
Space-group type   Pm-3m, No. 221
VASP energy   -2.550 eV/atom
ΔE to the lowest computed polymorph   17.4 kJ per mole of atoms


# 2
RbBaSb | PBE | relaxed

a b c (Å): 5.9346 5.5722 5.5722
angles (deg): 120.00 90.00 90.00
With the nearest neighbours (Å) after each atom.
Fractional coordinates of all 3 atoms:
Rb 0.2747 0.6667 0.3333  3 Sb 3.73
Ba 0.7688 0.3333 0.6667  3 Sb 3.40
Sb 0.9565 0.0000 0.0000  3 Ba 3.40, 3 Rb 3.73

Volume   159.6 Å³ per cell
Space-group type   P3m1, No. 156
VASP energy   -2.891 eV/atom


# 3
RbBaSb2 | PBE | relaxed

a b c (Å): 5.1437 5.3065 5.3065
angles (deg): 90.00 90.00 90.00
With the nearest neighbours (Å) after each atom.
Fractional coordinates of all 4 atoms:
Sb 0.0000 0.0000 0.5000  4 Ba 3.70, 4 Rb 3.70, 4 Sb 3.75
Sb 0.0000 0.5000 0.0000  4 Rb 3.70, 4 Ba 3.70, 4 Sb 3.75
Ba 0.5000 0.5000 0.5000  8 Sb 3.70, 4 Rb 3.75
Rb 0.5000 0.0000 0.0000  8 Sb 3.70, 4 Ba 3.75

Volume   144.8 Å³ per cell
Space-group type   P4/mmm, No. 123
VASP energy   -3.308 eV/atom
ΔE to the lowest computed polymorph   0.0 kJ per mole of atoms


# 4
RbBaSb3 | PBE | relaxed

a b c (Å): 6.3873 6.3873 6.3873
angles (deg): 90.00 90.00 90.00
With the nearest neighbours (Å) after each atom.
Fractional coordinates of all 5 atoms:
Ba 0.0000 0.0000 0.0000  6 Sb 3.19
Rb 0.5000 0.5000 0.5000  12 Sb 4.52
Sb 0.0000 0.0000 0.5000  2 Ba 3.19
Sb 0.5000 0.0000 0.0000  2 Ba 3.19
Sb 0.0000 0.5000 0.0000  2 Ba 3.19

Volume   260.6 Å³ per cell
Space-group type   Pm-3m, No. 221
VASP energy   -2.730 eV/atom
ΔE to the lowest computed polymorph   0.0 kJ per mole of atoms


# 5
RbBa2Sb | PBE | relaxed

a b c (Å): 4.9937 4.9937 13.5237
angles (deg): 79.36 79.36 60.00
With the nearest neighbours (Å) after each atom.
Fractional coordinates of all 4 atoms:
Sb 0.5000 0.5000 0.5000  6 Ba 3.44
Rb 0.0000 0.0000 0.0000  2 Ba 4.74, 6 Rb 4.99
Ba 0.8805 0.8805 0.3586  3 Sb 3.44
Ba 0.1195 0.1195 0.6414  3 Sb 3.44

Volume   285.3 Å³ per cell
Space-group type   R-3m, No. 166
VASP energy   -2.763 eV/atom


# 6
Rb2BaSb | PBE | relaxed

a b c (Å): 5.3221 5.3221 14.5337
angles (deg): 79.45 79.45 90.00
With the nearest neighbours (Å) after each atom.
Fractional coordinates of all 8 atoms:
Rb 0.5930 0.1250 0.2500  2 Rb 3.53, 2 Sb 3.93
Sb 0.2500 0.7500 0.5000  4 Ba 3.76, 4 Rb 3.93
Rb 0.3750 0.4070 0.7500  2 Rb 3.53, 2 Sb 3.93
Rb 0.8750 0.8430 0.7500  2 Rb 3.53, 2 Sb 3.93
Ba 0.0000 0.0000 0.0000  4 Sb 3.76, 4 Rb 4.04
Rb 0.1570 0.6250 0.2500  2 Rb 3.53, 2 Sb 3.93
Sb 0.5000 0.5000 0.0000  4 Ba 3.76, 4 Rb 3.93
Ba 0.7500 0.2500 0.5000  4 Sb 3.76, 4 Rb 4.04

Volume   397.6 Å³ per cell
Space-group type   I-42d, No. 122
VASP energy   -2.213 eV/atom


# 7
RbBa2Sb6 | PBE | relaxed

a b c (Å): 4.8907 9.0502 9.0502
angles (deg): 120.00 90.00 90.00
With the nearest neighbours (Å) after each atom.
Fractional coordinates of all 9 atoms:
Rb 0.0000 0.0000 0.0000  12 Sb 3.95
Ba 0.0000 0.6667 0.3333  12 Sb 3.85
Ba 0.0000 0.3333 0.6667  12 Sb 3.85
Sb 0.5000 0.6570 0.6570  3 Sb 2.84-3.10
Sb 0.5000 0.3430 0.0000  3 Sb 2.84-3.10
Sb 0.5000 0.0000 0.6570  3 Sb 2.84-3.10
Sb 0.5000 0.6570 0.0000  3 Sb 2.84-3.10
Sb 0.5000 0.0000 0.3430  3 Sb 2.84-3.10
Sb 0.5000 0.3430 0.3430  3 Sb 2.84-3.10

Volume   346.9 Å³ per cell
Space-group type   P6/mmm, No. 191
VASP energy   -3.793 eV/atom


# 8
RbBa2Sb2 | PBE | relaxed

a b c (Å): 10.1966 10.1966 4.1073
angles (deg): 90.00 90.00 90.00
With the nearest neighbours (Å) after each atom.
Fractional coordinates of all 10 atoms:
Ba 0.6332 0.8668 0.5000  6 Sb 3.58-3.67, 1 Ba 3.84
Sb 0.3364 0.8364 0.0000  6 Ba 3.58-3.67, 2 Rb 3.81
Sb 0.1636 0.3364 0.0000  6 Ba 3.58-3.67, 2 Rb 3.81
Ba 0.1332 0.6332 0.5000  6 Sb 3.58-3.67, 1 Ba 3.84
Ba 0.8668 0.3668 0.5000  6 Sb 3.58-3.67, 1 Ba 3.84
Ba 0.3668 0.1332 0.5000  6 Sb 3.58-3.67, 1 Ba 3.84
Rb 0.5000 0.5000 0.0000  4 Sb 3.81, 2 Rb 4.11
Sb 0.8364 0.6636 0.0000  6 Ba 3.58-3.67, 2 Rb 3.81
Sb 0.6636 0.1636 0.0000  6 Ba 3.58-3.67, 2 Rb 3.81
Rb 0.0000 0.0000 0.0000  4 Sb 3.81, 2 Rb 4.11

Volume   427.0 Å³ per cell
Space-group type   P4/mbm, No. 127
VASP energy   -3.407 eV/atom
ΔE to the lowest computed polymorph   0.0 kJ per mole of atoms


Result set for formation energy (no corrections): 48.4; -53.4; -50.6; 31.1; -51.0; -21.0; -49.2; -76.7 kJ/mol of atoms, one per record in the order listed.